DFT (PBE with a Hubbard U) results for MnOF2 after structural relaxation.

Summary:
- VASP energy: -5.928 eV per atom

a = 7.9364 Å, b = 4.9630 Å, c = 5.9131 Å
α = 90.00°, β = 102.46°, γ = 90.00°
With the nearest neighbours (Å) after each atom.
Space group P2_1/c (No. 14)
Inequivalent atoms, fractional coordinates:
Mn  0.1719  0.0171  0.3851 x4  5 F 2.01-2.18, 1 O 2.21
O  0.4470  0.5965  0.9957 x4  1 O 1.27
F  0.0861  0.6702  0.1732 x4  3 Mn 2.14-2.18
F  0.2425  0.1684  0.1042 x4  2 Mn 2.01-2.03